LaBBr2 after structural relaxation, computed with GGA-PBE.

Formation energy without anion corrections: -0.0694 eV per atom
SG: Fm-3m (225)
Distance to the lowest polymorph of the same formula: 0 meV per atom

Structure (POSCAR):
```
LaBBr2
1.0
0.000 3.660 3.660
3.660 0.000 3.660
3.660 3.660 0.000
La B Br
1 1 2
direct
0.000 0.000 0.000
0.500 0.500 0.500
0.250 0.250 0.250
0.750 0.750 0.750
```

=====

La5BBr5 after structural relaxation, computed with GGA-PBE.

Formation energy without anion corrections: -1.2706 eV per atom
SG: C2/m (12)

Structure (POSCAR):
```
La5BBr5
1.0
6.589 -3.001 0.000
6.589 3.001 0.000
-2.903 0.000 8.357
La B Br
5 1 5
direct
0.000 0.000 0.000
0.338 0.338 0.131
0.354 0.354 0.714
0.646 0.646 0.286
0.662 0.662 0.869
0.500 0.500 0.000
0.150 0.150 0.798
0.169 0.169 0.348
0.500 0.500 0.500
0.831 0.831 0.652
0.850 0.850 0.202
```

=====

LaBBr2 after structural relaxation, computed with GGA-PBE.

Formation energy without anion corrections: 0.0753 eV per atom
SG: R-3m (166)
Distance to the lowest polymorph of the same formula: 145 meV per atom

Structure (POSCAR):
```
LaBBr2
1.0
1.948 1.125 9.583
-1.948 1.125 9.583
0.000 -2.250 9.583
La B Br
1 1 2
direct
0.000 0.000 0.000
0.500 0.500 0.500
0.405 0.405 0.405
0.595 0.595 0.595
```

=====

LaB2Br after structural relaxation, computed with GGA-PBE.

Formation energy without anion corrections: 1.1093 eV per atom
SG: I-42d (122)
Distance to the lowest polymorph of the same formula: 22 meV per atom

Structure (POSCAR):
```
LaB2Br
1.0
-3.326 3.326 3.442
3.326 -3.326 3.442
3.326 3.326 -3.442
La B Br
2 4 2
direct
0.000 0.000 0.000
0.750 0.250 0.500
0.189 0.625 0.064
0.375 0.439 0.564
0.561 0.125 0.936
0.875 0.811 0.436
0.250 0.750 0.500
0.500 0.500 0.000
```

=====

La2BBr after structural relaxation, computed with GGA-PBE.

Formation energy without anion corrections: -0.7189 eV per atom
SG: R-3m (166)
Distance to the lowest polymorph of the same formula: 0 meV per atom

Structure (POSCAR):
```
La2BBr
1.0
2.068 1.194 7.452
-2.068 1.194 7.452
0.000 -2.388 7.452
La B Br
2 1 1
direct
0.231 0.231 0.231
0.769 0.769 0.769
0.500 0.500 0.500
0.000 0.000 0.000
```

=====

LaB2Br after structural relaxation, computed with GGA-PBE.

Formation energy without anion corrections: 1.0871 eV per atom
SG: Fm-3m (225)
Distance to the lowest polymorph of the same formula: 0 meV per atom

Structure (POSCAR):
```
LaB2Br
1.0
0.000 3.329 3.329
3.329 0.000 3.329
3.329 3.329 0.000
La B Br
1 2 1
direct
0.000 0.000 0.000
0.250 0.250 0.250
0.750 0.750 0.750
0.500 0.500 0.500
```